Here is a geometry-optimized CaTlHgSb2 structure from Alexandria via LeMat-Bulk. Energies are from PBE.

Properties
- DFT total energy: -2.23 eV per atom
- Total magnetic moment: 0.0 μB per cell

Cell and atoms, written as POSCAR:
```
CaTlHgSb2
1.0
5.7147 0.0000 0.0000
0.0000 5.9850 0.0000
0.0000 0.0000 5.7147
Sb Tl Ca Hg
2 1 1 1
direct
0.0000 0.0000 0.5000
0.5000 0.0000 0.0000
0.0000 0.0000 0.0000
0.0000 0.5000 0.0000
0.5000 0.5000 0.5000
```